[1]
Compound: MnIn2Te
Source: Alexandria
Functional: PBE-GGA
Structure: optimized geometry

Cell: 7.3550 7.3550 7.3550 Å, 90.00 90.00 90.00°
With the nearest neighbours (Å) after each atom.
Space group F-43m (No. 216)
Symmetry-distinct sites (fractional):
Mn  0.0000  0.0000  0.0000 x4  4 In 3.18, 4 Te 3.18
In  0.0000  0.0000  0.5000 x4  4 In 3.18, 4 Te 3.18
In  0.2500  0.2500  0.7500 x4  4 In 3.18, 4 Mn 3.18
Te  0.2500  0.2500  0.2500 x4  4 In 3.18, 4 Mn 3.18

Results
Energy relative to the elements, uncorrected (eV per atom): 0.31



[2]
Compound: K2SrSiW
Source: Alexandria
Functional: PBE-GGA
Structure: optimized geometry

Cell: 6.2073 6.2073 5.3149 Å, 90.00 90.00 90.00°
With the nearest neighbours (Å) after each atom.
Space group P4/mmm (No. 123)
Symmetry-distinct sites (fractional):
K  0.0000  0.5000  0.0000 x2  2 Sr 3.10
Sr  0.0000  0.0000  0.0000 x1  2 W 2.66
Si  0.5000  0.5000  0.5000 x1  8 K 4.09, 4 W 4.39
W  0.0000  0.0000  0.5000 x1  2 Sr 2.66

Results
Energy relative to the elements, uncorrected (eV per atom): 2.12



[3]
Compound: TcTeSe2Br
Source: Alexandria
Functional: PBE-GGA
Structure: optimized geometry

Cell: 4.8799 4.8799 5.0842 Å, 90.00 90.00 90.00°
With the nearest neighbours (Å) after each atom.
Space group P4/mmm (No. 123)
Symmetry-distinct sites (fractional):
Tc  0.0000  0.0000  0.0000 x1  4 Se 2.44, 2 Br 2.54
Te  0.5000  0.5000  0.5000 x1  4 Br 3.45, 8 Se 3.52
Se  0.0000  0.5000  0.0000 x2  2 Tc 2.44
Br  0.0000  0.0000  0.5000 x1  2 Tc 2.54

Results
Energy relative to the elements, uncorrected (eV per atom): 0.31
Energy above the lowest structure with this stoichiometry (meV per atom): 0



[4]
Compound: LaBi3
Source: Alexandria
Functional: PBE-GGA
Structure: optimized geometry

Cell: 4.7167 23.8378 4.7311 Å, 90.00 90.00 90.00°
With the nearest neighbours (Å) after each atom.
Space group Cmcm (No. 63)
Symmetry-distinct sites (fractional):
La  0.0000  0.0713  0.2500 x4  8 Bi 3.37-3.53
Bi  0.0000  0.1811  0.7500 x4  5 Bi 3.29-3.34, 2 La 3.53
Bi  0.0000  0.3192  0.7500 x4  5 Bi 3.29-3.34, 2 La 3.52
Bi  0.0000  0.4460  0.2500 x4  4 La 3.37, 2 Bi 3.50

Results
ΔH_f (0 K) (eV per atom): -0.51



[5]
Compound: Li2HfHAu
Source: Alexandria
Functional: PBE-GGA
Structure: optimized geometry

Cell: 3.9277 3.9277 4.5627 Å, 90.00 90.00 90.00°
With the nearest neighbours (Å) after each atom.
Space group P4/mmm (No. 123)
Symmetry-distinct sites (fractional):
Li  0.0000  0.5000  0.0000 x2  2 H 1.96
Hf  0.0000  0.0000  0.5000 x1  2 H 2.28
H  0.0000  0.0000  0.0000 x1  4 Li 1.96
Au  0.5000  0.5000  0.5000 x1  4 Hf 2.78, 8 Li 3.01



[6]
Compound: Ca6ZnIn3
Source: Alexandria
Functional: PBE-GGA
Structure: optimized geometry

Cell: 9.4143 5.4769 12.3396 Å, 90.00 111.12 90.00°
With the nearest neighbours (Å) after each atom.
Space group P2_1/m (No. 11)
Symmetry-distinct sites (fractional):
Ca  0.0240  0.2500  0.4196 x2  7 In 3.21-3.54, 4 Ca 3.51-3.60
Ca  0.1710  0.7500  0.1634 x2  1 Zn 3.12, 4 In 3.27-3.36
Ca  0.2612  0.2500  0.0024 x2  3 Zn 3.26, 4 In 3.26-3.60, 1 Ca 3.56
Ca  0.3458  0.7500  0.8194 x2  3 Zn 3.12-3.28, 1 In 3.26
Ca  0.3628  0.2500  0.3487 x2  4 In 3.39-3.72, 6 Ca 3.52-3.61
Ca  0.3916  0.2500  0.6409 x2  1 Zn 3.10, 3 In 3.31-3.39
Zn  0.4556  0.7500  0.0905 x2  8 Ca 3.10-3.28
In  0.0299  0.7500  0.8718 x2  8 Ca 3.26-3.60, 2 In 3.48
In  0.0921  0.2500  0.7208 x2  8 Ca 3.21-3.55, 3 In 3.36-3.48
In  0.2664  0.7500  0.4716 x2  1 In 3.36, 9 Ca 3.39-3.58

Results
ΔH_f (0 K) (eV per atom): -0.34



[7]
Compound: PuIr3
Source: Alexandria
Functional: PBE-GGA
Structure: optimized geometry

Cell: 4.0577 4.0577 8.1568 Å, 90.00 90.00 90.00°
With the nearest neighbours (Å) after each atom.
Space group I4/mmm (No. 139)
Symmetry-distinct sites (fractional):
Pu  0.0000  0.0000  0.0000 x2  12 Ir 2.87-2.88
Ir  0.0000  0.0000  0.5000 x2  4 Pu 2.87, 8 Ir 2.88
Ir  0.0000  0.5000  0.2500 x4  8 Ir 2.87-2.88, 4 Pu 2.88

Results
ΔH_f (0 K) (eV per atom): -0.16



[8]
Compound: MnTl2Ni
Source: Alexandria
Functional: PBE-GGA
Structure: optimized geometry

Cell: 3.3674 5.3725 8.8012 Å, 90.00 90.00 90.00°
With the nearest neighbours (Å) after each atom.
Space group Immm (No. 71)
Symmetry-distinct sites (fractional):
Mn  0.0000  0.0000  0.0000 x2  4 Tl 2.89, 4 Ni 3.17
Tl  0.0000  0.5000  0.2327 x4  2 Ni 2.65, 2 Mn 2.89
Ni  0.0000  0.0000  0.5000 x2  4 Tl 2.65

Results
ΔH_f (0 K) (eV per atom): 0.49
Energy above the lowest structure with this stoichiometry (meV per atom): 204



[9]
Compound: CaTlHAu
Source: Alexandria
Functional: PBE-GGA
Structure: optimized geometry

Cell: 4.4380 3.8019 10.4790 Å, 90.00 90.00 90.00°
With the nearest neighbours (Å) after each atom.
Space group Amm2 (No. 38)
Symmetry-distinct sites (fractional):
Ca  0.0000  0.0000  0.0000 x2  2 H 2.28
Tl  0.5000  0.0000  0.3192 x2  2 H 2.31
H  0.0000  0.0000  0.3807 x2  2 Ca 2.28, 2 Tl 2.31
Au  0.5000  0.0000  0.6096 x2  3 Tl 2.90-3.04, 4 Ca 3.14

Results
Energy above the lowest structure with this stoichiometry (meV per atom): 66



[10]
Compound: HgTeCl2
Source: Alexandria
Functional: PBE-GGA
Structure: optimized geometry

Cell: 16.2043 3.5382 5.0473 Å, 90.00 98.32 90.00°
With the nearest neighbours (Å) after each atom.
Space group Cm (No. 8)
Symmetry-distinct sites (fractional):
Hg  0.0000  0.0000  0.0000 x2  2 Cl 2.58, 1 Te 2.65
Te  0.3360  0.5000  0.9808 x2  1 Hg 2.65
Cl  0.1161  0.5000  0.0008 x2  2 Hg 2.58
Cl  0.3444  0.0000  0.4791 x2  4 Te 3.06-3.11

Results
Energy relative to the elements, uncorrected (eV per atom): -0.22
Energy above the lowest structure with this stoichiometry (meV per atom): 110



[11]
Compound: ZrTiMo2
Source: Alexandria
Functional: PBE-GGA
Structure: optimized geometry

Cell: 3.2552 3.2552 6.5192 Å, 90.00 90.00 90.00°
With the nearest neighbours (Å) after each atom.
Space group P4/mmm (No. 123)
Symmetry-distinct sites (fractional):
Zr  0.0000  0.0000  0.0000 x1  8 Mo 2.88
Ti  0.0000  0.0000  0.5000 x1  8 Mo 2.76
Mo  0.5000  0.5000  0.2662 x2  4 Ti 2.76, 4 Zr 2.88, 1 Mo 3.05

Results
ΔH_f (0 K) (eV per atom): 0.02
Energy above the lowest structure with this stoichiometry (meV per atom): 0



[12]
Compound: Nd4ReN5
Source: Alexandria
Functional: PBE-GGA
Structure: optimized geometry

Cell: 7.7428 7.7428 5.2148 Å, 90.00 90.00 90.00°
With the nearest neighbours (Å) after each atom.
Space group I4 (No. 79)
Symmetry-distinct sites (fractional):
Nd  0.1042  0.6964  0.0000 x8  5 N 2.42-2.66
Re  0.0000  0.0000  0.5616 x2  1 N 1.87
N  0.0000  0.0000  0.9204 x2  1 Re 1.87
N  0.0914  0.7312  0.5077 x8  1 Re 2.22, 2 Nd 2.42-2.44

Results
Energy relative to the elements, uncorrected (eV per atom): -0.91



[13]
Compound: NaCdIn2
Source: Alexandria
Functional: PBE-GGA
Structure: optimized geometry

Cell: 4.9604 4.9604 15.8142 Å, 90.00 90.00 120.00°
With the nearest neighbours (Å) after each atom.
Space group R3m (No. 160, hexagonal axes)
Symmetry-distinct sites (fractional):
Na  0.0000  0.0000  0.0000 x3  1 Cd 3.16, 7 In 3.25-3.47
Cd  0.0000  0.0000  0.8002 x3  6 In 2.92-3.17, 1 Na 3.16
In  0.0000  0.0000  0.2194 x3  3 Cd 3.17, 4 In 3.33-3.46, 4 Na 3.38-3.47
In  0.0000  0.0000  0.4300 x3  3 Cd 2.92, 3 Na 3.25

Results
ΔH_f (0 K) (eV per atom): -0.03



[14]
Compound: YTa2P
Source: Alexandria
Functional: PBE-GGA
Structure: optimized geometry

Cell: 3.7334 4.9896 8.3643 Å, 90.00 90.00 90.00°
With the nearest neighbours (Å) after each atom.
Space group Cmm2 (No. 35)
Symmetry-distinct sites (fractional):
Y  0.0000  0.0000  0.0000 x2  2 P 2.78
Ta  0.0000  0.0000  0.4446 x2  2 P 2.50
Ta  0.0000  0.5000  0.6945 x2  6 Ta 2.80-3.12
P  0.0000  0.5000  0.2462 x2  2 Ta 2.50, 2 Y 2.78

Results
ΔH_f (0 K) (eV per atom): -0.16



[15]
Compound: AcCe2SmBi4
Source: Alexandria
Functional: PBE-GGA
Structure: optimized geometry

Cell: 8.0799 4.6648 8.0862 Å, 90.00 109.44 90.00°
With the nearest neighbours (Å) after each atom.
Space group P2/m (No. 10)
Symmetry-distinct sites (fractional):
Ac  0.0000  0.0000  0.0000 x1  6 Bi 3.38
Ce  0.5000  0.0000  0.5000 x1  6 Bi 3.22
Ce  0.5000  0.5000  0.0000 x1  6 Bi 3.31
Sm  0.0000  0.5000  0.5000 x1  6 Bi 3.29
Bi  0.2546  0.0000  0.7431 x2  3 Ce 3.22-3.31, 2 Sm 3.29, 1 Ac 3.38
Bi  0.2612  0.5000  0.2624 x2  3 Ce 3.22-3.31, 1 Sm 3.29, 2 Ac 3.38

Results
ΔH_f (0 K) (eV per atom): -0.86



[16]
Compound: HgIr2RuS
Source: Alexandria
Functional: PBE-GGA
Structure: optimized geometry

Cell: 4.4404 4.4404 4.3623 Å, 90.00 90.00 90.00°
With the nearest neighbours (Å) after each atom.
Space group P4/mmm (No. 123)
Symmetry-distinct sites (fractional):
Hg  0.0000  0.0000  0.0000 x1  8 Ir 3.11, 4 Ru 3.14
Ir  0.0000  0.5000  0.5000 x2  2 S 2.22
Ru  0.5000  0.5000  0.0000 x1  2 S 2.18
S  0.5000  0.5000  0.5000 x1  2 Ru 2.18, 4 Ir 2.22

Results
Energy relative to the elements, uncorrected (eV per atom): 0.65



[17]
Compound: SrLaCu2Mo
Source: Alexandria
Functional: PBE-GGA
Structure: optimized geometry

Cell: 5.1200 5.1200 5.1699 Å, 90.00 90.00 90.00°
With the nearest neighbours (Å) after each atom.
Space group P4/mmm (No. 123)
Symmetry-distinct sites (fractional):
Sr  0.0000  0.0000  0.0000 x1  4 Cu 2.56, 2 Mo 2.58
La  0.5000  0.5000  0.5000 x1  4 Mo 3.62, 8 Cu 3.64
Cu  0.0000  0.5000  0.0000 x2  2 Sr 2.56
Mo  0.0000  0.0000  0.5000 x1  2 Sr 2.58

Results
ΔH_f (0 K) (eV per atom): 1.38



[18]
Compound: LiCe3Pm2S6
Source: Alexandria
Functional: PBE-GGA
Structure: optimized geometry

Cell: 6.9335 12.0251 6.9441 Å, 90.00 109.52 90.00°
With the nearest neighbours (Å) after each atom.
Space group C2/m (No. 12)
Symmetry-distinct sites (fractional):
Li  0.0000  0.0000  0.0000 x2  6 S 2.76
Ce  0.0000  0.1673  0.5000 x4  6 S 2.83-2.90
Ce  0.0000  0.5000  0.5000 x2  6 S 2.83-2.91
Pm  0.0000  0.3336  0.0000 x4  6 S 2.84
S  0.2426  0.0000  0.7554 x4  1 Li 2.76, 3 Ce 2.83-2.91, 2 Pm 2.84
S  0.2431  0.1621  0.2436 x8  1 Li 2.76, 3 Ce 2.83-2.90, 2 Pm 2.84

Results
Energy relative to the elements, uncorrected (eV per atom): -1.94



[19]
Compound: TlGe2Pd2
Source: Alexandria
Functional: PBE-GGA
Structure: optimized geometry

Cell: 3.9744 3.9744 12.4321 Å, 90.00 90.00 90.00°
With the nearest neighbours (Å) after each atom.
Space group I4/mmm (No. 139)
Symmetry-distinct sites (fractional):
Tl  0.0000  0.0000  0.0000 x2  8 Pd 3.17
Ge  0.0000  0.5000  0.2500 x4  4 Pd 2.58, 4 Ge 2.81
Pd  0.0000  0.0000  0.3818 x4  4 Ge 2.58

Results
ΔH_f (0 K) (eV per atom): -0.15
Energy above the lowest structure with this stoichiometry (meV per atom): 90



[20]
Compound: RbMgRe3
Source: Alexandria
Functional: PBE-GGA
Structure: optimized geometry

Cell: 4.8676 4.8676 4.8676 Å, 90.00 90.00 90.00°
With the nearest neighbours (Å) after each atom.
Space group Pm-3m (No. 221)
Symmetry-distinct sites (fractional):
Rb  0.0000  0.0000  0.0000 x1  12 Re 3.44
Mg  0.5000  0.5000  0.5000 x1  6 Re 2.43
Re  0.0000  0.5000  0.5000 x3  2 Mg 2.43

Results
ΔH_f (0 K) (eV per atom): 2.91
Energy above the lowest structure with this stoichiometry (meV per atom): 0



[21]
Compound: Ge3SeCl
Source: Alexandria
Functional: PBE-GGA
Structure: optimized geometry

Cell: 5.0486 5.0486 5.0486 Å, 90.00 90.00 90.00°
With the nearest neighbours (Å) after each atom.
Space group Pm-3m (No. 221)
Symmetry-distinct sites (fractional):
Ge  0.0000  0.0000  0.5000 x3  2 Cl 2.52
Se  0.5000  0.5000  0.5000 x1  12 Ge 3.57
Cl  0.0000  0.0000  0.0000 x1  6 Ge 2.52

Results
Energy relative to the elements, uncorrected (eV per atom): 0.82
Energy above the lowest structure with this stoichiometry (meV per atom): 218



[22]
Compound: PmNpSb
Source: Alexandria
Functional: PBE-GGA
Structure: optimized geometry

Cell: 4.3886 4.0283 9.3701 Å, 90.00 94.95 90.00°
With the nearest neighbours (Å) after each atom.
Space group P2_1/m (No. 11)
Symmetry-distinct sites (fractional):
Pm  0.2288  0.2500  0.2794 x2  5 Sb 3.09-3.26, 1 Np 3.13
Np  0.3687  0.2500  0.9573 x2  2 Np 2.42
Sb  0.2577  0.2500  0.6287 x2  1 Np 3.08, 5 Pm 3.09-3.26

Results
Energy relative to the elements, uncorrected (eV per atom): -0.19
Energy above the lowest structure with this stoichiometry (meV per atom): 0



[23]
Compound: Sr2LaAlH
Source: Alexandria
Functional: PBE-GGA
Structure: optimized geometry

Cell: 5.1836 5.1836 5.2306 Å, 90.00 90.00 90.00°
With the nearest neighbours (Å) after each atom.
Space group P4/mmm (No. 123)
Symmetry-distinct sites (fractional):
Sr  0.0000  0.5000  0.0000 x2  2 H 2.59
La  0.0000  0.0000  0.5000 x1  2 H 2.62
Al  0.5000  0.5000  0.5000 x1  4 La 3.67, 8 Sr 3.68
H  0.0000  0.0000  0.0000 x1  4 Sr 2.59, 2 La 2.62

Results
Energy above the lowest structure with this stoichiometry (meV per atom): 0



[24]
Compound: ZnIr5
Source: Alexandria
Functional: PBE-GGA
Structure: optimized geometry

Cell: 4.4140 2.7777 14.2154 Å, 90.00 90.00 90.00°
With the nearest neighbours (Å) after each atom.
Space group Amm2 (No. 38)
Symmetry-distinct sites (fractional):
Zn  0.0000  0.0000  0.0000 x2  10 Ir 2.70-2.75, 2 Zn 2.78
Ir  0.0000  0.0000  0.3333 x2  10 Ir 2.73-2.78, 2 Zn 2.75
Ir  0.0000  0.0000  0.6668 x2  10 Ir 2.71-2.78, 2 Zn 2.75
Ir  0.5000  0.0000  0.2193 x2  12 Ir 2.71-2.81
Ir  0.5000  0.0000  0.5547 x2  8 Ir 2.71-2.78, 4 Zn 2.72
Ir  0.5000  0.0000  0.8909 x2  2 Zn 2.70, 10 Ir 2.71-2.81

Results
ΔH_f (0 K) (eV per atom): 0.06



[25]
Compound: La6Tb2HoTm
Source: Alexandria
Functional: PBE-GGA
Structure: optimized geometry

Cell: 9.8481 15.1473 9.3416 Å, 90.00 94.08 90.00°
With the nearest neighbours (Å) after each atom.
Space group C2/c (No. 15)
Symmetry-distinct sites (fractional):
La  0.0742  0.1574  0.4208 x8  4 La 3.41-3.66, 2 Ho 3.58-3.62, 2 Tb 3.62-3.68
La  0.0776  0.3700  0.6071 x8  3 La 3.17-3.48, 1 Tm 3.45, 1 Tb 3.51
La  0.2347  0.2190  0.8176 x8  3 La 3.33-3.55, 1 Tm 3.43, 1 Ho 3.44, 1 Tb 3.51
Tb  0.2469  0.0433  0.0629 x8  2 Ho 3.42-3.67, 1 Tm 3.50, 7 La 3.51-3.77
Ho  0.0000  0.0536  0.7500 x4  4 Tb 3.42-3.67, 6 La 3.44-3.62
Tm  0.0000  0.4185  0.2500 x4  6 La 3.43-3.57, 2 Tb 3.50

Results
ΔH_f (0 K) (eV per atom): 0.12



[26]
Compound: LaAl4P
Source: Alexandria
Functional: PBE-GGA
Structure: optimized geometry

Cell: 7.8549 7.8549 7.8549 Å, 90.00 90.00 90.00°
With the nearest neighbours (Å) after each atom.
Space group F-43m (No. 216)
Symmetry-distinct sites (fractional):
La  0.0000  0.0000  0.0000 x4  12 Al 3.26, 4 P 3.40
Al  0.1251  0.1251  0.3749 x16  6 Al 2.78
P  0.2500  0.2500  0.7500 x4  12 Al 3.26, 4 La 3.40

Results
ΔH_f (0 K) (eV per atom): -0.03
Energy above the lowest structure with this stoichiometry (meV per atom): 172



Values of DFT total energy, in order: -0.3044 -0.1712 -0.3031 -0.3416 -0.3220 -0.1832 -0.7638 -0.3258 -0.2206 -0.1473 -0.6985 -0.6045 -0.1441 -0.6656 -0.3963 -0.4142 -0.2754 -0.4733 -0.3341 -0.3726 -0.2219 -0.5482 -0.2352 -0.5543 -0.3433 -0.3125, all in Ry per atom.
Values of total magnetization, in order: 0.949 0.533 0.000 0.000 0.000 0.000 0.898 1.026 0.000 0.000 0.000 0.000 0.000 0.000 0.213 0.000 0.420 0.227 0.000 1.234 0.088 0.268 0.042 0.000 0.000 0.000, all in μB per atom.